# 1
This record from OQMD describes a geometry-optimized PmBPd structure. The functional is GGA-PBE.

Computed properties:
E above lowest polymorph = 2.168 eV per formula unit
total moment = 0.0016 μB per atom
space-group type = No. 216
mass density = 6.59 g/cm3
crystal system = cubic

Lattice parameters (Å, degrees): 4.5376 4.5376 4.5376 60.00 60.00 60.00
With the nearest neighbours (Å) after each atom.
Sites, in units of the cell vectors:
Pd 0.7500 0.7500 0.7500  4 Pm 2.78
Pm 0.0000 0.0000 0.0000  4 Pd 2.78, 4 B 2.78
B 0.2500 0.2500 0.2500  4 Pm 2.78



# 2
This record from OQMD describes a geometry-optimized Pm2BPd6 structure. The functional is GGA-PBE.

Computed properties:
total moment = 0.0001 μB per atom
space-group type = No. 164
mass density = 10.00 g/cm3
crystal system = trigonal

Lattice parameters (Å, degrees): 5.8693 5.8693 5.2274 90.01 90.01 60.00
With the nearest neighbours (Å) after each atom.
Sites, in units of the cell vectors:
Pd 0.6718 0.1643 0.2621  1 B 2.16
Pm 0.3332 0.3332 0.7694  12 Pd 2.94-3.16
B 0.0000 0.0000 0.0000  6 Pd 2.16
Pd 0.1642 0.1642 0.2620  1 B 2.16
Pd 0.8358 0.8358 0.7380  1 B 2.16
Pd 0.1643 0.6718 0.2621  1 B 2.16
Pd 0.8358 0.3282 0.7379  1 B 2.16
Pd 0.3282 0.8358 0.7379  1 B 2.16
Pm 0.6668 0.6668 0.2306  12 Pd 2.94-3.16



# 3
This record from OQMD describes a geometry-optimized PmBPd structure. The functional is GGA-PBE.

Computed properties:
E above lowest polymorph = 1.055 eV per formula unit
total moment = 0.1961 μB per atom
space-group type = No. 216
mass density = 7.14 g/cm3
crystal system = cubic

Lattice parameters (Å, degrees): 4.4187 4.4187 4.4187 60.00 60.00 60.00
With the nearest neighbours (Å) after each atom.
Sites, in units of the cell vectors:
Pm 0.7500 0.7500 0.7500  4 Pd 2.71
B 0.2500 0.2500 0.2500  4 Pd 2.71
Pd 0.0000 0.0000 0.0000  4 Pm 2.71, 4 B 2.71



# 4
This record from OQMD describes a geometry-optimized PmBPd structure. The functional is GGA-PBE.

Computed properties:
E above lowest polymorph = 0.000 eV per formula unit
total moment = 0.0002 μB per atom
space-group type = No. 216
mass density = 7.83 g/cm3
crystal system = cubic

Lattice parameters (Å, degrees): 4.2846 4.2846 4.2846 60.00 60.00 60.00
With the nearest neighbours (Å) after each atom.
Sites, in units of the cell vectors:
Pm 0.7500 0.7500 0.7500  4 B 2.62
Pd 0.2500 0.2500 0.2500  4 B 2.62
B 0.0000 0.0000 0.0000  4 Pd 2.62, 4 Pm 2.62



# 5
This record from OQMD describes a geometry-optimized PmB4Pd structure. The functional is GGA-PBE.

Computed properties:
E above lowest polymorph = 0.023 eV per formula unit
total moment = 0.0003 μB per atom
space-group type = No. 191
mass density = 7.54 g/cm3
crystal system = hexagonal

Lattice parameters (Å, degrees): 3.2358 3.2358 7.1608 90.00 90.00 120.00
With the nearest neighbours (Å) after each atom.
Sites, in units of the cell vectors:
Pd 0.0000 0.0000 0.5000  12 B 2.45
B 0.3333 0.6667 0.7219  3 B 1.87
Pm 0.0000 0.0000 0.0000  12 B 2.73
B 0.3333 0.6667 0.2781  3 B 1.87
B 0.6667 0.3333 0.7219  3 B 1.87
B 0.6667 0.3333 0.2781  3 B 1.87



# 6
This record from OQMD describes a geometry-optimized PrB2Pd3 structure. The functional is GGA-PBE.

Computed properties:
total moment = 0.0012 μB per atom
space-group type = No. 191
mass density = 9.19 g/cm3
crystal system = hexagonal

Lattice parameters (Å, degrees): 5.5903 5.5903 3.2159 90.01 90.01 120.03
With the nearest neighbours (Å) after each atom.
Sites, in units of the cell vectors:
Pd 0.0000 0.0000 0.0000  4 B 2.28
Pd 0.0000 0.5000 0.0000  4 B 2.28
B 0.1664 0.8336 0.5000  6 Pd 2.28
Pd 0.5000 0.0000 0.0000  4 B 2.28
Pr 0.5000 0.5000 0.5000  2 Pr 3.22, 12 Pd 3.22-3.23, 6 B 3.23
B 0.8336 0.1664 0.5000  6 Pd 2.28



In the order shown, the computed E values come out to -14.50; -53.87; -15.62; -16.67; -37.27; -35.75 eV per cell.